Entry 1:
{"formula": "ZrAl2In", "functional": "PBE-GGA", "state": "optimized geometry", "final_energy_ry_per_atom": -0.35524, "space_group": "P4mm", "delta_e_f_mev_per_atom": -140, "lattice": [[-1.625, 2.006, 2.356], [-0.674, -2.826, 1.943], [5.608, 0.835, 3.159]], "species": ["Al", "Al", "Zr", "In"], "frac_coords": [[0.000, 0.000, 0.024], [0.500, 0.500, 0.230], [0.500, 0.500, 0.770], [0.000, 0.000, 0.476]]}

Entry 2:
{"formula": "TiCuPCl2", "functional": "PBE-GGA", "state": "optimized geometry", "relative_energy_mev_per_atom": 477.5, "formation_energy_uncorrected_mev_per_atom": 302.0, "final_energy_ry_per_atom": -0.28788, "space_group": "P4/mmm", "lattice": [[4.438, 0.000, 0.000], [0.000, 4.438, 0.000], [0.000, 0.000, 5.042]], "species": ["P", "Cl", "Cu", "Cl", "Ti"], "frac_coords": [[0.000, 0.000, 0.500], [0.000, 0.500, 0.000], [0.000, 0.000, 0.000], [0.500, 0.000, 0.000], [0.500, 0.500, 0.500]]}

Entry 3:
{"formula": "CePm2TlHg4", "functional": "PBE-GGA", "state": "optimized geometry", "final_energy_ry_per_atom": -0.20066, "space_group": "R-3m", "delta_e_f_mev_per_atom": -354, "lattice": [[-1.557, -0.954, 4.958], [-2.815, -4.335, 1.097], [6.225, -6.365, 3.546]], "species": ["Hg", "Hg", "Tl", "Pm", "Pm", "Hg", "Hg", "Ce"], "frac_coords": [[0.869, 0.869, 0.393], [0.380, 0.380, 0.859], [0.000, 0.000, 0.000], [0.259, 0.259, 0.222], [0.741, 0.741, 0.778], [0.131, 0.131, 0.607], [0.620, 0.620, 0.141], [0.500, 0.500, 0.500]]}

Entry 4:
{"formula": "Zn2SnGeB", "functional": "PBE-GGA", "state": "optimized geometry", "final_energy_ry_per_atom": -0.20240, "space_group": "P4/mmm", "delta_e_f_mev_per_atom": 815, "lattice": [[5.033, 0.000, 0.000], [0.000, 3.952, 0.000], [0.000, 0.000, 5.033]], "species": ["Sn", "Zn", "Ge", "B", "Zn"], "frac_coords": [[0.500, 0.500, 0.500], [0.500, 0.000, 0.000], [0.000, 0.000, 0.000], [0.000, 0.500, 0.000], [0.000, 0.000, 0.500]]}

Entry 5:
{"formula": "MgTi2Pt", "functional": "PBE-GGA", "state": "optimized geometry", "final_energy_ry_per_atom": -0.45924, "space_group": "Pmmn", "delta_e_f_mev_per_atom": -392, "lattice": [[-1.551, 0.987, 4.244], [-5.208, 0.305, -1.974], [-0.652, -5.061, 0.939]], "species": ["Ti", "Ti", "Mg", "Pt", "Pt", "Ti", "Mg", "Ti"], "frac_coords": [[0.250, 0.007, 0.656], [0.750, 0.507, 0.344], [0.750, 0.750, 0.860], [0.250, 0.750, 0.169], [0.750, 0.250, 0.831], [0.250, 0.493, 0.656], [0.250, 0.250, 0.140], [0.750, 0.993, 0.344]]}

Entry 6:
{"formula": "AcTaP2", "functional": "PBE-GGA", "state": "optimized geometry", "final_energy_ry_per_atom": -0.56040, "space_group": "R-3m", "delta_e_f_mev_per_atom": -929, "lattice": [[-3.812, 0.349, -0.706], [-1.342, -0.316, -3.640], [-2.474, -6.526, -0.603]], "species": ["P", "P", "Ta", "Ac"], "frac_coords": [[0.732, 0.732, 0.803], [0.268, 0.268, 0.197], [0.000, 0.000, 0.000], [0.500, 0.500, 0.500]]}

Entry 7:
{"formula": "LaCdFe2", "functional": "PBE-GGA", "state": "optimized geometry", "final_energy_ry_per_atom": -0.38611, "space_group": "F-43m", "delta_e_f_mev_per_atom": 439, "lattice": [[4.880, 0.000, 0.000], [2.440, 4.227, 0.000], [2.440, 1.409, 3.985]], "species": ["Cd", "La", "Fe", "Fe"], "frac_coords": [[0.500, 0.500, 0.500], [0.750, 0.750, 0.750], [0.250, 0.250, 0.250], [0.000, 0.000, 0.000]]}

Entry 8:
{"formula": "HoMg3Pb6", "functional": "PBE-GGA", "state": "optimized geometry", "relative_energy_mev_per_atom": 43.6, "final_energy_ry_per_atom": -0.23650, "space_group": "P2_1/c", "delta_e_f_mev_per_atom": -57, "lattice": [[-1.032, 0.902, 4.718], [0.072, -9.173, 1.770], [12.391, 0.611, 2.660]], "species": ["Mg", "Mg", "Ho", "Pb", "Pb", "Pb", "Pb", "Mg", "Pb", "Pb", "Pb", "Pb", "Mg", "Pb", "Ho", "Mg", "Mg", "Pb", "Pb", "Pb"], "frac_coords": [[0.000, 0.000, 0.500], [0.999, 0.336, 0.658], [0.000, 0.000, 0.000], [0.002, 0.309, 0.392], [0.998, 0.691, 0.608], [0.498, 0.809, 0.108], [0.000, 0.336, 0.072], [0.001, 0.664, 0.342], [0.502, 0.498, 0.245], [0.500, 0.164, 0.572], [0.502, 0.191, 0.892], [0.998, 0.998, 0.255], [0.500, 0.500, 0.000], [0.002, 0.002, 0.745], [0.500, 0.500, 0.500], [0.501, 0.836, 0.842], [0.499, 0.164, 0.158], [0.000, 0.664, 0.928], [0.498, 0.502, 0.755], [0.500, 0.836, 0.428]]}